Density functional theory data (PBE-GGA) for K2LiAuCl6 after structural relaxation.

```
10
Lattice="7.143 0.000 0.000 0.000 7.144 0.000 3.572 3.573 5.467" Properties=species:S:1:pos:R:3 pbc="T T T"
Cl 7.142 7.144 2.292
K 7.142 3.573 2.732
Au 3.571 3.572 0.000
Cl 5.495 5.500 5.467
K 3.572 7.144 2.736
Cl 5.219 5.217 0.002
Li 0.000 0.000 0.000
Cl 3.572 3.573 3.176
Cl 5.498 8.793 5.468
Cl 5.216 1.924 0.001
```

Output
calculated volume: 27.9 A^3/atom
SG: I4/mmm
ΔE_f (raw): -1.219 eV/atom
size of the total moment: 0.000 μB per cell